Crystalline TaVCuO6 at its relaxed geometry. Source: Alexandria, functional PBE+U.

The space group is P-31c (No. 163) and the conventional cell measures 5.0675, 5.0675 and 8.8974 Å, with angles of 90.00, 90.00 and 120.00 degrees. Symmetry generates all atoms from Ta at (0.3333, 0.6667, 0.2500), V at (0.3333, 0.6667, 0.7500), Cu at (0.0000, 0.0000, 0.0000) and O at (0.0133, 0.3575, 0.6325).

For the total magnetic moment, the calculation gives 2.0 Bohr magnetons per cell. The calculated total energy is -7.710 eV/atom.